A relaxed ThZn11Ir crystal. Source: Alexandria, functional PBE.

Output
- ΔE_f: -0.209 eV/atom

Structure (CIF):
```
data_ThZn11Ir
_cell_length_a 5.209
_cell_length_b 12.819
_cell_length_c 6.770
_cell_angle_alpha 90.00
_cell_angle_beta 111.59
_cell_angle_gamma 90.00
_symmetry_space_group_name_H-M 'C 1 2/m 1'
_symmetry_Int_Tables_number 12
loop_
_symmetry_equiv_pos_as_xyz
'x,y,z'
'-x,-y,-z'
'-x,y,-z'
'x,-y,z'
'x+1/2,y+1/2,z'
'-x+1/2,-y+1/2,-z'
'-x+1/2,y+1/2,-z'
'x+1/2,-y+1/2,z'
loop_
_atom_site_label
_atom_site_type_symbol
_atom_site_fract_x
_atom_site_fract_y
_atom_site_fract_z
Th1 Th 0.000 0.000 0.000
Zn1 Zn 0.000 0.500 0.500
Zn2 Zn 0.109 0.389 0.220
Zn3 Zn 0.158 0.176 0.358
Zn4 Zn 0.250 0.250 0.000
Ir1 Ir 0.000 0.000 0.500
```

---

A relaxed CsCdBi3 crystal. Source: Alexandria, functional PBE.

Output
- ΔE_f: 1.309 eV/atom
- Polymorph energy (0 for the lowest one): 141.8 kJ/mol of atoms

Structure (CIF):
```
data_CsCdBi3
_cell_length_a 6.443
_cell_length_b 6.443
_cell_length_c 6.443
_cell_angle_alpha 90.00
_cell_angle_beta 90.00
_cell_angle_gamma 90.00
_symmetry_space_group_name_H-M 'P m -3 m'
_symmetry_Int_Tables_number 221
_symmetry_space_group_name_Hall '-P 4 2 3'
loop_
_atom_site_label
_atom_site_type_symbol
_atom_site_fract_x
_atom_site_fract_y
_atom_site_fract_z
Cs1 Cs 0.000 0.000 0.000
Cd1 Cd 0.500 0.500 0.500
Bi1 Bi 0.000 0.000 0.500
```

---

A relaxed CoRh2W crystal. Source: Alexandria, functional PBE.

Output
- ΔE_f: 1.034 eV/atom
- Polymorph energy (0 for the lowest one): 113.4 kJ/mol of atoms

Structure (CIF):
```
data_CoRh2W
_cell_length_a 5.325
_cell_length_b 5.325
_cell_length_c 11.102
_cell_angle_alpha 90.00
_cell_angle_beta 90.00
_cell_angle_gamma 90.00
_symmetry_space_group_name_H-M 'I -4 2 d'
_symmetry_Int_Tables_number 122
_symmetry_space_group_name_Hall 'I -4 2bw'
loop_
_atom_site_label
_atom_site_type_symbol
_atom_site_fract_x
_atom_site_fract_y
_atom_site_fract_z
Co1 Co 0.000 0.000 0.000
Rh1 Rh 0.223 0.250 0.125
W1 W 0.000 0.000 0.500
```

---

A relaxed ScPa8 crystal. Source: Alexandria, functional PBE.

Output
- ΔE_f: 0.023 eV/atom

Structure (CIF):
```
data_ScPa8
_cell_length_a 9.901
_cell_length_b 9.901
_cell_length_c 4.544
_cell_angle_alpha 90.00
_cell_angle_beta 90.00
_cell_angle_gamma 90.00
_symmetry_space_group_name_H-M 'I 4/m m m'
_symmetry_Int_Tables_number 139
_symmetry_space_group_name_Hall '-I 4 2'
loop_
_atom_site_label
_atom_site_type_symbol
_atom_site_fract_x
_atom_site_fract_y
_atom_site_fract_z
Sc1 Sc 0.000 0.000 0.000
Pa1 Pa 0.000 0.332 0.000
Pa2 Pa 0.166 0.166 0.500
```

---

A relaxed Sm6AlSi2 crystal. Source: Alexandria, functional PBE.

Output
- ΔE_f (raw): -0.46 eV/atom

Structure (CIF):
```
data_Sm6AlSi2
_cell_length_a 9.679
_cell_length_b 9.932
_cell_length_c 10.344
_cell_angle_alpha 90.00
_cell_angle_beta 90.00
_cell_angle_gamma 90.00
_symmetry_space_group_name_H-M 'I m m m'
_symmetry_Int_Tables_number 71
_symmetry_space_group_name_Hall '-I 2 2'
loop_
_atom_site_label
_atom_site_type_symbol
_atom_site_fract_x
_atom_site_fract_y
_atom_site_fract_z
Sm1 Sm 0.000 0.201 0.243
Sm2 Sm 0.208 0.500 0.178
Sm3 Sm 0.229 0.318 0.500
Al1 Al 0.000 0.000 0.000
Al2 Al 0.000 0.000 0.500
Si1 Si 0.000 0.371 0.000
Si2 Si 0.000 0.500 0.386
```

---

A relaxed Tl2TeN crystal. Source: Alexandria, functional PBE.

Output
- ΔE_f (raw): 0.56 eV/atom
- Polymorph energy (0 for the lowest one): 7.0 kJ/mol of atoms

Structure (CIF):
```
data_Tl2TeN
_cell_length_a 3.439
_cell_length_b 7.637
_cell_length_c 8.786
_cell_angle_alpha 106.22
_cell_angle_beta 90.10
_cell_angle_gamma 102.96
_symmetry_space_group_name_H-M 'P -1'
_symmetry_Int_Tables_number 2
loop_
_symmetry_equiv_pos_as_xyz
'x,y,z'
'-x,-y,-z'
loop_
_atom_site_label
_atom_site_type_symbol
_atom_site_fract_x
_atom_site_fract_y
_atom_site_fract_z
Tl1 Tl 0.153 0.305 0.018
Tl2 Tl 0.320 0.638 0.372
Te1 Te 0.013 0.021 0.259
N1 N 0.258 0.518 0.850
```

---

A relaxed AcLa2Sn2Pd2 crystal. Source: Alexandria, functional PBE.

Output
- ΔE_f: -0.778 eV/atom

Structure (CIF):
```
data_AcLa2Sn2Pd2
_cell_length_a 4.8046
_cell_length_b 4.8046
_cell_length_c 28.4377
_cell_angle_alpha 90.00
_cell_angle_beta 90.00
_cell_angle_gamma 120.00
_symmetry_space_group_name_H-M 'R -3 m'
_symmetry_Int_Tables_number 166
_symmetry_space_group_name_Hall '-R 3 2"'
loop_
_atom_site_label
_atom_site_type_symbol
_atom_site_fract_x
_atom_site_fract_y
_atom_site_fract_z
Ac1 Ac 0.0000 0.0000 0.0000
La1 La 0.0000 0.0000 0.1381
Sn1 Sn 0.0000 0.0000 0.2596
Pd1 Pd 0.0000 0.0000 0.4253
```

---

A relaxed NiHSe2 crystal. Source: Alexandria, functional PBE.

Output
- Polymorph energy (0 for the lowest one): 69.7 kJ/mol of atoms

Structure (CIF):
```
data_NiHSe2
_cell_length_a 7.289
_cell_length_b 7.289
_cell_length_c 5.049
_cell_angle_alpha 90.00
_cell_angle_beta 90.00
_cell_angle_gamma 90.00
_symmetry_space_group_name_H-M 'I 4/m c m'
_symmetry_Int_Tables_number 140
_symmetry_space_group_name_Hall '-I 4 2c'
loop_
_atom_site_label
_atom_site_type_symbol
_atom_site_fract_x
_atom_site_fract_y
_atom_site_fract_z
Ni1 Ni 0.000 0.500 0.250
H1 H 0.000 0.000 0.250
Se1 Se 0.188 0.312 0.000
```